Material: La4CeZn5
Method: DFT, meta-GGA SCAN
State: single point on PBEsol structure

The space group is P4/mmm (No. 123) and the conventional cell measures 3.6578, 3.6578 and 18.2961 Å, with angles of 90.00, 90.00 and 90.00 degrees. The asymmetric unit holds La at (0.0000, 0.0000, 0.1015), La at (0.0000, 0.0000, 0.3063), Ce at (0.0000, 0.0000, 0.5000), Zn at (0.5000, 0.5000, 0.0000), Zn at (0.5000, 0.5000, 0.2037) and Zn at (0.5000, 0.5000, 0.4092).

The calculated volume is 24.48 Å³/atom. The calculation puts the formation enthalpy at 0 K at -0.3397 eV/atom. The theoretical density is 6.938 g/cm3. For the total magnetization, the calculation gives 0.749 μB/f.u.



Material: LiCeMg14
Method: DFT, meta-GGA SCAN
State: single point on PBEsol structure

The space group is Amm2 (No. 38) and the conventional cell measures 10.2470, 6.3231 and 11.3679 Å, with angles of 90.00, 90.00 and 90.00 degrees. The asymmetric unit holds Li at (0.0000, 0.0000, 0.0000), Ce at (0.0000, 0.0000, 0.5186), Mg at (0.0000, 0.2427, 0.7695), Mg at (0.2336, 0.0000, 0.1645), Mg at (0.2540, 0.2492, 0.4196), Mg at (0.2584, 0.0000, 0.6733), Mg at (0.5000, 0.0000, 0.0068), Mg at (0.5000, 0.0000, 0.5068) and Mg at (0.5000, 0.2455, 0.2559).

The calculated volume is 23.02 Å³/atom. The calculation puts the formation enthalpy at 0 K at 0.0337 eV/atom. The theoretical density is 2.197 g/cm3. For the total magnetization, the calculation gives 1.787 μB/f.u.



Number 1: N(E_F) 9.94 states/eV/cell. Number 2: N(E_F) 14.22 states/eV/cell.